Entry from Alexandria: CdHgBr2 after structural relaxation (PBE).

The structure in POSCAR format:
```
CdHgBr2
1.0
5.312 0.000 0.000
0.000 5.312 0.000
0.000 0.000 3.806
Br Hg Cd
2 1 1
Direct
0.500 0.500 0.000
0.000 0.000 0.000
0.000 0.500 0.500
0.500 0.000 0.500
```

## Properties
As for the crystal system: tetragonal. For the volume, the calculation gives 107.4 Å³/cell. The calculation puts the total magnetization at 0.0000 μB/atom. Its uncorrected formation energy is -0.137 eV per atom. For the offset from the most stable computed form, the calculation gives 0.482 eV per atom. As for the total energy: -1.28 eV/atom. The space-group type is P4/mmm (123).